# KTeAu2 | Alexandria | PBE | relaxed
data_KTeAu2
_space_group_name_H-M_alt 'P 4 m m'
_space_group_IT_number 99
_cell_length_a 3.704
_cell_length_b 3.704
_cell_length_c 7.936
_cell_angle_alpha 90.00
_cell_angle_beta 90.00
_cell_angle_gamma 90.00
loop_
_space_group_symop_operation_xyz
'x,y,z'
'-y,x,z'
'-x,-y,z'
'y,-x,z'
'-x,y,z'
'y,x,z'
'x,-y,z'
'-y,-x,z'
loop_
_atom_site_label
_atom_site_type_symbol
_atom_site_fract_x
_atom_site_fract_y
_atom_site_fract_z
_atom_site_occupancy
K1 K 0.000 0.000 0.000 1
Te1 Te 0.500 0.500 0.312 1
Au1 Au 0.000 0.000 0.573 1
Au2 Au 0.500 0.500 0.688 1
# * calculated density: 8.6 Mg/m³
# * Fermi-level density of states: 0.658 states/eV per atom
# * spin magnetization: 0.00 μB per formula unit
# * uncorrected formation energy: -0.050 eV per atom